(1)
VASP calculation (PBE-GGA) on a relaxed structure of CrTe2Au.

a = 4.023 Å, b = 6.687 Å, c = 7.557 Å
α = 81.44°, β = 75.27°, γ = 89.74°
Positions (direct):
Cr: 0.000 0.000 0.000
Cr: 0.404 0.970 0.212
Te: 0.290 0.690 0.509
Te: 0.512 0.741 0.951
Te: 0.567 0.244 0.859
Te: 0.862 0.211 0.284
Au: 0.911 0.641 0.252
Au: 0.999 0.033 0.620

Results
Magnetic moment ... 1.21 μB/cell
SG ... P1
VASP energy ... -4.778 eV per atom
Energy relative to the lowest polymorph listed for this composition ... 0.138 eV/atom


(2)
VASP calculation (PBE-GGA) on a relaxed structure of CrTe2Au.

a = 3.501 Å, b = 8.179 Å, c = 8.300 Å
α = 64.78°, β = 88.61°, γ = 84.70°
Positions (direct):
Cr: 0.186 0.405 0.492
Cr: 0.814 0.595 0.508
Te: 0.058 0.298 0.237
Te: 0.372 0.709 0.230
Te: 0.628 0.291 0.770
Te: 0.942 0.702 0.763
Au: 0.135 0.927 0.386
Au: 0.865 0.073 0.614

Results
Magnetic moment ... 0.57 μB/cell
SG ... P-1
VASP energy ... -4.792 eV per atom
Energy relative to the lowest polymorph listed for this composition ... 0.123 eV/atom


(3)
VASP calculation (PBE-GGA) on a relaxed structure of CrTe2Au.

a = 3.193 Å, b = 3.193 Å, c = 8.258 Å
α = 90.00°, β = 90.00°, γ = 90.00°
Positions (direct):
Cr: 0.000 0.000 0.000
Te: 0.500 0.500 0.196
Te: 0.500 0.500 0.804
Au: 0.000 0.000 0.500

Results
Magnetic moment ... 0.00 μB/cell
SG ... P4/mmm
VASP energy ... -4.459 eV per atom
Energy relative to the lowest polymorph listed for this composition ... 0.456 eV/atom


no.,formation energy without anion corrections (meV/atom)
1,18
2,4
3,337